1.
Compound: ZrCrCl
Source: the Alexandria database
Functional: PBE-GGA
Structure: optimized geometry

- total moment (μB/cell) = 1.6
- raw total energy (eV/cell) = -19.40
- raw formation energy (eV per atom) = 0.205
- energy above the lowest structure with this stoichiometry (eV per atom) = 0.398

a = 4.2227 Å, b = 4.2227 Å, c = 3.1635 Å
α = 90.00°, β = 90.00°, γ = 120.00°
With the nearest neighbours (Å) after each atom.
Space group P-6m2 (No. 187)
Asymmetric unit:
Zr 0.0000 0.0000 0.0000  6 Cr 2.91, 6 Cl 2.91, 2 Zr 3.16
Cr 0.3333 0.6667 0.5000  3 Cl 2.44
Cl 0.6667 0.3333 0.5000  3 Cr 2.44



2.
Compound: ZrCrCl
Source: the Alexandria database
Functional: PBE-GGA
Structure: optimized geometry

- total moment (μB/cell) = 5.7
- raw total energy (eV/cell) = -40.51
- raw formation energy (eV per atom) = -0.080
- energy above the lowest structure with this stoichiometry (eV per atom) = 0.113

a = 3.1224 Å, b = 3.1224 Å, c = 12.9845 Å
α = 90.00°, β = 90.00°, γ = 90.00°
With the nearest neighbours (Å) after each atom.
Space group I4mm (No. 107)
Asymmetric unit:
Zr 0.0000 0.0000 0.0000  4 Cl 2.84, 4 Cr 2.88, 4 Zr 3.12
Cr 0.0000 0.0000 0.3576  4 Zr 2.88, 4 Cr 3.12
Cl 0.0000 0.0000 0.6377  4 Zr 2.84, 4 Cl 3.12